Record 1
# CsMnBi2 PBE-GGA relaxed
data_CsMnBi2
_space_group_name_H-M_alt 'R -3 m'
_space_group_IT_number 166
_space_group_name_Hall '-R 3 2"'
_cell_length_a 4.4207
_cell_length_b 4.4207
_cell_length_c 25.3416
_cell_angle_alpha 90.00
_cell_angle_beta 90.00
_cell_angle_gamma 120.00
loop_
_atom_site_label
_atom_site_fract_x
_atom_site_fract_y
_atom_site_fract_z
Cs1 0.0000 0.0000 0.0000
Mn1 0.0000 0.0000 0.5000
Bi1 0.0000 0.0000 0.2160
# DOS at the Fermi energy: 0.34 states/eV/atom
# Energy relative to the elements: -2 meV per atom
# Distance to the lowest polymorph of the same formula: 0.000 eV/atom
# Raw total energy: -4.45 eV/atom

---

Record 2
# CsMnBi3 PBE-GGA relaxed
data_CsMnBi3
_space_group_name_H-M_alt 'P m -3 m'
_space_group_IT_number 221
_space_group_name_Hall '-P 4 2 3'
_cell_length_a 6.1977
_cell_length_b 6.1977
_cell_length_c 6.1977
_cell_angle_alpha 90.00
_cell_angle_beta 90.00
_cell_angle_gamma 90.00
loop_
_atom_site_label
_atom_site_fract_x
_atom_site_fract_y
_atom_site_fract_z
Cs1 0.0000 0.0000 0.0000
Mn1 0.5000 0.5000 0.5000
Bi1 0.0000 0.0000 0.5000
# DOS at the Fermi energy: 3.03 states/eV/atom
# Energy relative to the elements: 2314 meV per atom
# Distance to the lowest polymorph of the same formula: 2.186 eV/atom
# Raw total energy: -2.02 eV/atom